1.
Computed, not measured: crystalline TbSm2Tm at its relaxed geometry at the PBE level of DFT.

Calculated values
- V (Å³/f.u.) = 129.26
- magnetic moment (Bohr magnetons per cell) = 0.00
- formation enthalpy at 0 K (eV/f.u.) = 0.08
- relative energy among the computed polymorphs (eV/atom) = 0.0039

```
TbSm2Tm
1.0
3.577 0.000 0.000
0.000 3.577 0.000
0.000 0.000 10.102
Tb Sm Tm
1 2 1
direct
0.000 0.000 0.000
0.500 0.500 0.252
0.500 0.500 0.748
0.000 0.000 0.500
```

2.
Computed, not measured: crystalline YVAg2 at its relaxed geometry at the PBE level of DFT.

Calculated values
- V (Å³/f.u.) = 88.62
- magnetic moment (Bohr magnetons per cell) = 12.62
- formation enthalpy at 0 K (eV/f.u.) = 2.07
- relative energy among the computed polymorphs (eV/atom) = 0.3912

```
YVAg2
1.0
4.187 0.000 0.000
0.000 4.187 0.000
0.000 0.000 20.225
Y V Ag
4 4 8
direct
0.000 0.000 0.000
0.000 0.500 0.250
0.500 0.000 0.750
0.500 0.500 0.500
0.000 0.000 0.500
0.000 0.500 0.750
0.500 0.000 0.250
0.500 0.500 0.000
0.221 0.250 0.625
0.250 0.721 0.875
0.250 0.779 0.375
0.279 0.250 0.125
0.721 0.750 0.125
0.750 0.221 0.375
0.750 0.279 0.875
0.779 0.750 0.625
```

3.
Computed, not measured: crystalline Tb5ThTl8 at its relaxed geometry at the PBE level of DFT.

Calculated values
- V (Å³/f.u.) = 406.34
- magnetic moment (Bohr magnetons per cell) = 0.00
- formation enthalpy at 0 K (eV/f.u.) = -2.88

```
Tb5ThTl8
1.0
-4.636 4.636 4.727
4.636 -4.636 4.727
4.636 4.636 -4.727
Tb Th Tl
5 1 8
direct
0.000 0.000 0.000
0.252 0.624 0.109
0.376 0.485 0.628
0.515 0.144 0.891
0.856 0.748 0.372
0.750 0.250 0.500
0.128 0.201 0.749
0.135 0.722 0.743
0.278 0.021 0.413
0.452 0.379 0.251
0.608 0.865 0.587
0.621 0.872 0.073
0.799 0.548 0.927
0.979 0.392 0.257
```

4.
Computed, not measured: crystalline Na2SrMgCu at its relaxed geometry at the PBE level of DFT.

Calculated values
- V (Å³/f.u.) = 158.11
- magnetic moment (Bohr magnetons per cell) = 0.00
- formation enthalpy at 0 K (eV/f.u.) = 0.84
- relative energy among the computed polymorphs (eV/atom) = 0.0000

```
Na2SrMgCu
1.0
5.510 0.000 0.000
0.000 5.510 0.000
0.000 0.000 5.208
Na Sr Mg Cu
2 1 1 1
direct
0.000 0.500 0.000
0.500 0.000 0.000
0.000 0.000 0.500
0.500 0.500 0.500
0.500 0.500 0.000
```

5.
Computed, not measured: crystalline K2CuRu at its relaxed geometry at the PBE level of DFT.

Calculated values
- V (Å³/f.u.) = 125.86
- magnetic moment (Bohr magnetons per cell) = 2.90
- formation enthalpy at 0 K (eV/f.u.) = 2.91
- relative energy among the computed polymorphs (eV/atom) = 0.0304

```
K2CuRu
1.0
3.477 0.000 0.000
0.000 3.623 0.000
0.000 0.000 19.982
K Cu Ru
4 2 2
direct
0.000 0.000 0.141
0.000 0.000 0.859
0.500 0.500 0.359
0.500 0.500 0.641
0.000 0.500 0.500
0.500 0.000 0.000
0.000 0.500 0.000
0.500 0.000 0.500
```

6.
Computed, not measured: crystalline CsTiSbO4 at its relaxed geometry at the PBE level of DFT.

Calculated values
- V (Å³/f.u.) = 178.90
- formation energy without anion corrections (eV per atom) = -2.187
- magnetic moment (Bohr magnetons per cell) = 0.00

```
CsTiSbO4
1.0
7.105 0.000 0.000
0.000 5.936 0.000
-3.121 0.000 8.484
Cs Ti Sb O
2 2 2 8
direct
0.241 0.250 0.467
0.759 0.750 0.533
0.340 0.750 0.772
0.660 0.250 0.228
0.145 0.250 0.907
0.855 0.750 0.093
0.182 0.006 0.772
0.182 0.494 0.772
0.372 0.750 0.592
0.414 0.250 0.066
0.586 0.750 0.934
0.628 0.250 0.408
0.818 0.506 0.228
0.818 0.994 0.228
```

7.
Computed, not measured: crystalline Pm3Er2 at its relaxed geometry at the PBE level of DFT.

Calculated values
- V (Å³/f.u.) = 165.39
- magnetic moment (Bohr magnetons per cell) = 0.00
- formation enthalpy at 0 K (eV/f.u.) = 0.75

```
Pm3Er2
1.0
-3.255 8.151 3.116
3.255 -8.151 3.116
3.255 8.151 -3.116
Pm Er
6 4
direct
0.098 0.606 0.703
0.250 0.250 0.000
0.402 0.106 0.508
0.598 0.894 0.492
0.750 0.750 0.000
0.902 0.394 0.297
0.194 0.135 0.328
0.306 0.635 0.941
0.694 0.365 0.059
0.806 0.865 0.672
```

8.
Computed, not measured: crystalline Ga3NiIr3 at its relaxed geometry at the PBE level of DFT.

Calculated values
- V (Å³/f.u.) = 104.50
- magnetic moment (Bohr magnetons per cell) = 0.00
- formation enthalpy at 0 K (eV/f.u.) = -1.91

```
Ga3NiIr3
1.0
4.220 -4.252 0.000
4.220 4.252 0.000
-0.003 0.000 5.825
Ga Ni Ir
6 2 6
direct
0.206 0.794 0.000
0.249 0.249 0.498
0.256 0.744 0.500
0.744 0.256 0.500
0.751 0.751 0.502
0.794 0.206 0.000
0.217 0.217 0.001
0.783 0.783 0.999
0.000 0.499 0.752
0.000 0.501 0.248
0.499 0.000 0.752
0.500 0.500 0.232
0.500 0.500 0.768
0.501 0.000 0.248
```

Q: Which of these has the lowest V?
A: YVAg2